(1)
Entry from Alexandria: a relaxed structure of KGeB (PBE).

a b c (Å): 12.134 12.134 3.841
angles (deg): 90.00 90.00 165.35
Fractional positions:
K 0.155 0.845 0.000
K 0.845 0.155 0.000
Ge 0.449 0.551 0.500
Ge 0.551 0.449 0.500
B 0.251 0.749 0.500
B 0.749 0.251 0.500

space group = Cmmm, No. 65
V = 23.84 Å³/atom
size of the total moment = 0.00 μB per atom
total energy = -3.74 eV/atom


(2)
Entry from Alexandria: a relaxed structure of KGeB (PBE).

a b c (Å): 3.490 5.069 10.131
angles (deg): 94.53 91.52 110.12
Fractional positions:
K 0.000 0.000 0.000
K 0.261 0.607 0.433
Ge 0.010 0.079 0.625
Ge 0.254 0.539 0.792
B 0.454 0.946 0.744
B 0.627 0.285 0.791

space group = P1, No. 1
V = 27.91 Å³/atom
size of the total moment = 0.00 μB per atom
total energy = -3.87 eV/atom


(3)
Entry from Alexandria: a relaxed structure of KGeB (PBE).

a b c (Å): 8.107 8.107 3.228
angles (deg): 90.00 90.00 132.21
Fractional positions:
K 0.157 0.843 0.750
K 0.843 0.157 0.250
Ge 0.362 0.638 0.250
Ge 0.638 0.362 0.750
B 0.500 0.500 0.000
B 0.500 0.500 0.500

space group = Cmcm, No. 63
V = 26.20 Å³/atom
size of the total moment = 0.00 μB per atom
total energy = -3.71 eV/atom


(4)
Entry from Alexandria: a relaxed structure of KGeB (PBE).

a b c (Å): 7.782 7.027 6.930
angles (deg): 67.77 56.71 55.52
Fractional positions:
K 0.022 0.478 0.178
K 0.072 0.928 0.228
K 0.478 0.022 0.322
K 0.928 0.072 0.772
Ge 0.044 0.512 0.682
Ge 0.488 0.568 0.738
Ge 0.512 0.044 0.762
Ge 0.568 0.488 0.206
B 0.327 0.578 0.558
B 0.578 0.327 0.537
B 0.692 0.713 0.923
B 0.713 0.692 0.672

space group = Fdd2, No. 43
V = 21.65 Å³/atom
size of the total moment = 0.00 μB per atom
total energy = -3.76 eV/atom


(5)
Entry from Alexandria: a relaxed structure of KGeB (PBE).

a b c (Å): 3.583 6.267 6.628
angles (deg): 76.78 78.52 86.89
Fractional positions:
K 0.104 0.308 0.298
K 0.896 0.692 0.702
Ge 0.420 0.194 0.781
Ge 0.580 0.806 0.219
B 0.139 0.914 0.061
B 0.861 0.086 0.939

space group = P-1, No. 2
V = 23.67 Å³/atom
size of the total moment = 0.00 μB per atom
total energy = -3.90 eV/atom


(6)
Entry from Alexandria: a relaxed structure of KGeB (PBE).

a b c (Å): 6.386 6.386 5.193
angles (deg): 113.62 113.62 44.81
Fractional positions:
K 0.191 0.191 0.182
K 0.809 0.809 0.818
Ge 0.489 0.489 0.750
Ge 0.511 0.511 0.250
B 0.166 0.834 0.500
B 0.834 0.166 0.500

space group = C2/m, No. 12
V = 22.42 Å³/atom
size of the total moment = 0.00 μB per atom
total energy = -3.97 eV/atom


(7)
Entry from Alexandria: a relaxed structure of KGeB (PBE).

a b c (Å): 5.141 5.141 6.295
angles (deg): 90.00 90.00 96.70
Fractional positions:
K 0.138 0.862 0.750
K 0.862 0.138 0.250
Ge 0.350 0.650 0.250
Ge 0.650 0.350 0.750
B 0.500 0.500 0.000
B 0.500 0.500 0.500

space group = Cmcm, No. 63
V = 27.54 Å³/atom
size of the total moment = 0.00 μB per atom
total energy = -3.58 eV/atom


(8)
Entry from Alexandria: a relaxed structure of KLi2GeB (PBE).

a b c (Å): 4.940 4.940 6.112
angles (deg): 90.00 90.00 90.00
Fractional positions:
K 0.000 0.000 0.000
Li 0.000 0.500 0.500
Li 0.500 0.000 0.500
Ge 0.000 0.000 0.500
B 0.500 0.500 0.000

space group = P4/mmm, No. 123
V = 29.83 Å³/atom
size of the total moment = 0.00 μB per atom
total energy = -2.19 eV/atom


(9)
Entry from Alexandria: a relaxed structure of K2NaGeB (PBE).

a b c (Å): 5.850 5.850 5.141
angles (deg): 90.00 90.00 90.00
Fractional positions:
K 0.000 0.500 0.000
K 0.500 0.000 0.000
Na 0.000 0.000 0.500
Ge 0.500 0.500 0.500
B 0.000 0.000 0.000

space group = P4/mmm, No. 123
V = 35.19 Å³/atom
size of the total moment = 0.37 μB per atom
total energy = -1.94 eV/atom


(10)
Entry from Alexandria: a relaxed structure of K2GeB4O11 (PBE).

a b c (Å): 7.011 7.011 12.023
angles (deg): 90.46 90.46 121.34
Fractional positions:
K 0.038 0.962 0.500
K 0.180 0.661 0.251
K 0.661 0.180 0.751
K 0.962 0.038 0.000
Ge 0.250 0.658 0.929
Ge 0.658 0.250 0.429
B 0.119 0.455 0.495
B 0.186 0.564 0.692
B 0.413 0.827 0.542
B 0.455 0.119 0.995
B 0.515 0.560 0.478
B 0.560 0.515 0.978
B 0.564 0.186 0.192
B 0.827 0.413 0.042
O 0.052 0.402 0.614
O 0.069 0.496 0.036
O 0.123 0.507 0.803
O 0.210 0.693 0.476
O 0.295 0.397 0.470
O 0.309 0.932 0.918
O 0.363 0.769 0.664
O 0.397 0.295 0.970
O 0.402 0.052 0.114
O 0.496 0.069 0.536
O 0.507 0.123 0.303
O 0.514 0.682 0.955
O 0.589 0.778 0.508
O 0.672 0.771 0.236
O 0.682 0.514 0.455
O 0.693 0.210 0.976
O 0.769 0.363 0.164
O 0.771 0.672 0.736
O 0.778 0.589 0.008
O 0.875 0.895 0.248
O 0.895 0.875 0.748
O 0.932 0.309 0.418

space group = Cc, No. 9
V = 14.02 Å³/atom
size of the total moment = 0.12 μB per atom
total energy = -6.91 eV/atom


(11)
Entry from Alexandria: a relaxed structure of KGe2BO6 (PBE).

a b c (Å): 7.320 7.320 5.931
angles (deg): 110.04 110.04 92.53
Fractional positions:
K 0.125 0.875 0.750
K 0.875 0.125 0.250
Ge 0.222 0.395 0.941
Ge 0.395 0.222 0.441
Ge 0.605 0.778 0.559
Ge 0.778 0.605 0.059
B 0.205 0.795 0.250
B 0.795 0.205 0.750
O 0.005 0.768 0.263
O 0.205 0.645 0.009
O 0.232 0.995 0.237
O 0.330 0.361 0.240
O 0.355 0.795 0.491
O 0.361 0.330 0.740
O 0.639 0.670 0.260
O 0.645 0.205 0.509
O 0.670 0.639 0.760
O 0.768 0.005 0.763
O 0.795 0.355 0.991
O 0.995 0.232 0.737

space group = C2/c, No. 15
V = 13.79 Å³/atom
size of the total moment = 0.00 μB per atom
energy above the most stable polymorph in this dataset = 0.84 eV per formula unit


(12)
Entry from Alexandria: a relaxed structure of KGe2BO6 (PBE).

a b c (Å): 4.878 10.346 10.874
angles (deg): 90.00 90.00 90.00
Fractional positions:
K 0.193 0.030 0.312
K 0.307 0.970 0.812
K 0.693 0.470 0.688
K 0.807 0.530 0.188
Ge 0.200 0.385 0.434
Ge 0.231 0.302 0.920
Ge 0.269 0.698 0.420
Ge 0.300 0.615 0.934
Ge 0.700 0.115 0.566
Ge 0.731 0.198 0.080
Ge 0.769 0.802 0.580
Ge 0.800 0.885 0.066
B 0.195 0.234 0.658
B 0.305 0.766 0.158
B 0.695 0.266 0.342
B 0.805 0.734 0.842
O 0.006 0.792 0.166
O 0.028 0.819 0.466
O 0.055 0.124 0.598
O 0.080 0.248 0.784
O 0.095 0.549 0.408
O 0.144 0.360 0.593
O 0.356 0.640 0.093
O 0.405 0.451 0.908
O 0.420 0.752 0.284
O 0.445 0.876 0.098
O 0.472 0.181 0.966
O 0.494 0.208 0.666
O 0.506 0.708 0.834
O 0.528 0.681 0.534
O 0.555 0.376 0.402
O 0.580 0.252 0.216
O 0.595 0.951 0.592
O 0.644 0.140 0.407
O 0.856 0.860 0.907
O 0.905 0.049 0.092
O 0.920 0.748 0.716
O 0.945 0.624 0.902
O 0.972 0.319 0.034
O 0.994 0.292 0.334

space group = P2_12_12_1, No. 19
V = 13.72 Å³/atom
size of the total moment = 0.00 μB per atom
energy above the most stable polymorph in this dataset = 0.00 eV per formula unit


(13)
Entry from Alexandria: a relaxed structure of K2Ge3B2O10 (PBE).

a b c (Å): 8.682 8.682 12.104
angles (deg): 128.15 128.15 42.21
Fractional positions:
K 0.151 0.151 0.389
K 0.509 0.014 0.111
K 0.849 0.849 0.611
K 0.986 0.491 0.889
Ge 0.090 0.910 0.000
Ge 0.138 0.612 0.318
Ge 0.388 0.862 0.682
Ge 0.474 0.445 0.826
Ge 0.555 0.526 0.174
Ge 0.836 0.164 0.500
B 0.416 0.433 0.561
B 0.567 0.584 0.439
B 0.597 0.121 0.921
B 0.879 0.403 0.079
O 0.009 0.498 0.130
O 0.065 0.179 0.124
O 0.071 0.068 0.659
O 0.175 0.559 0.455
O 0.234 0.740 0.112
O 0.260 0.766 0.888
O 0.386 0.368 0.632
O 0.415 0.312 0.850
O 0.417 0.492 0.323
O 0.441 0.825 0.545
O 0.502 0.991 0.870
O 0.508 0.583 0.677
O 0.593 0.201 0.480
O 0.632 0.614 0.368
O 0.650 0.223 0.085
O 0.688 0.585 0.150
O 0.777 0.350 0.915
O 0.799 0.407 0.520
O 0.821 0.935 0.876
O 0.932 0.929 0.341

space group = C2, No. 5
V = 13.51 Å³/atom
size of the total moment = 0.00 μB per atom
total energy = -6.64 eV/atom


(14)
Entry from Alexandria: a relaxed structure of KGeBPd2 (PBE).

a b c (Å): 4.976 4.976 3.921
angles (deg): 90.00 90.00 90.00
Fractional positions:
K 0.000 0.000 0.000
Ge 0.500 0.500 0.500
B 0.500 0.500 0.000
Pd 0.000 0.500 0.500
Pd 0.500 0.000 0.500

space group = P4/mmm, No. 123
V = 19.42 Å³/atom
size of the total moment = 0.00 μB per atom
total energy = -4.09 eV/atom


(15)
Entry from Alexandria: a relaxed structure of K2GeBS4 (PBE).

a b c (Å): 12.864 11.370 7.272
angles (deg): 84.21 61.56 34.22
Fractional positions:
K 0.055 0.055 0.695
K 0.305 0.305 0.945
K 0.695 0.695 0.055
K 0.945 0.945 0.305
Ge 0.375 0.375 0.375
Ge 0.625 0.625 0.625
B 0.125 0.125 0.125
B 0.875 0.875 0.875
S 0.066 0.286 0.356
S 0.207 0.644 0.714
S 0.286 0.066 0.793
S 0.356 0.793 0.066
S 0.644 0.207 0.934
S 0.714 0.934 0.207
S 0.793 0.356 0.286
S 0.934 0.714 0.644

space group = Fddd, No. 70
V = 26.50 Å³/atom
size of the total moment = 0.00 μB per atom
total energy = -4.45 eV/atom


(16)
Entry from Alexandria: a relaxed structure of KGeB2Se (PBE).

a b c (Å): 4.335 4.335 5.700
angles (deg): 90.00 90.00 90.00
Fractional positions:
K 0.000 0.000 0.000
Ge 0.500 0.500 0.000
B 0.000 0.500 0.500
B 0.500 0.000 0.500
Se 0.000 0.000 0.500

space group = P4/mmm, No. 123
V = 21.42 Å³/atom
size of the total moment = 0.00 μB per atom
total energy = -2.89 eV/atom


(17)
Entry from Alexandria: a relaxed structure of KGeBSe2 (PBE).

a b c (Å): 5.024 5.024 4.231
angles (deg): 90.00 90.00 90.00
Fractional positions:
K 0.000 0.000 0.000
Ge 0.500 0.500 0.000
B 0.500 0.500 0.500
Se 0.000 0.500 0.500
Se 0.500 0.000 0.500

space group = P4/mmm, No. 123
V = 21.35 Å³/atom
size of the total moment = 0.00 μB per atom
total energy = -3.64 eV/atom


(18)
Entry from Alexandria: a relaxed structure of KZr2GeB (PBE).

a b c (Å): 4.987 4.987 4.166
angles (deg): 90.00 90.00 90.00
Fractional positions:
K 0.000 0.000 0.000
Zr 0.000 0.500 0.000
Zr 0.500 0.000 0.000
Ge 0.500 0.500 0.500
B 0.000 0.000 0.500

space group = P4/mmm, No. 123
V = 20.72 Å³/atom
size of the total moment = 0.00 μB per atom
total energy = -3.62 eV/atom


(19)
Entry from Alexandria: a relaxed structure of LaGeB2 (PBE).

a b c (Å): 7.865 7.865 7.865
angles (deg): 148.27 148.27 45.49
Fractional positions:
La 0.375 0.625 0.750
La 0.625 0.375 0.250
Ge 0.125 0.875 0.250
Ge 0.875 0.125 0.750
B 0.000 0.000 0.000
B 0.000 0.000 0.500
B 0.000 0.500 0.000
B 0.500 0.000 0.500

space group = I4_1/amd, No. 141
V = 16.77 Å³/atom
size of the total moment = 0.00 μB per atom
total energy = -5.47 eV/atom


(20)
Entry from Alexandria: a relaxed structure of LaGeB3 (PBE).

a b c (Å): 4.216 4.216 4.216
angles (deg): 90.00 90.00 90.00
Fractional positions:
La 0.000 0.000 0.000
Ge 0.500 0.500 0.500
B 0.000 0.500 0.500
B 0.500 0.000 0.500
B 0.500 0.500 0.000

space group = Pm-3m, No. 221
V = 14.99 Å³/atom
size of the total moment = 0.00 μB per atom
energy above the most stable polymorph in this dataset = 0.00 eV per formula unit


(21)
Entry from Alexandria: a relaxed structure of LaGeB3 (PBE).

a b c (Å): 4.790 4.790 4.790
angles (deg): 90.00 90.00 90.00
Fractional positions:
La 0.000 0.000 0.000
Ge 0.500 0.500 0.500
B 0.000 0.000 0.500
B 0.000 0.500 0.000
B 0.500 0.000 0.000

space group = Pm-3m, No. 221
V = 21.99 Å³/atom
size of the total moment = 0.00 μB per atom
energy above the most stable polymorph in this dataset = 6.94 eV per formula unit